Entry 1:
GaAg6Au5 after structural relaxation. Source: Alexandria, functional GGA-PBE.

Properties
* Fermi-level density of states: 4.59 states/eV/f.u.
* magnetic moment: 0.00 μB per formula unit
* raw total energy: -3.090 eV per atom

a = 4.0457 Å, b = 7.7802 Å, c = 7.7802 Å
α = 104.75°, β = 105.25°, γ = 105.25°
Fractional positions:
Au (0.0000, 0.3302, 0.6698)
Ag (0.2467, 0.7458, 0.7458)
Ag (0.7487, 0.5816, 0.9154)
Ag (0.7487, 0.9154, 0.5816)
Ga (0.0000, 0.0000, 0.0000)
Au (0.5000, 0.1574, 0.8426)
Au (0.5000, 0.5000, 0.5000)
Ag (0.2513, 0.4184, 0.0846)
Ag (0.7533, 0.2542, 0.2542)
Au (0.5000, 0.8426, 0.1574)
Au (0.0000, 0.6698, 0.3302)
Ag (0.2513, 0.0846, 0.4184)

---

Entry 2:
GaAg6Au after structural relaxation. Source: Alexandria, functional GGA-PBE.

Properties
* Fermi-level density of states: 2.34 states/eV/f.u.
* magnetic moment: 0.00 μB per formula unit
* raw total energy: -2.873 eV per atom

a = 7.1298 Å, b = 7.3892 Å, c = 5.4258 Å
α = 46.36°, β = 45.87°, γ = 63.33°
Fractional positions:
Ag (0.4734, 0.7509, 0.8382)
Ag (0.9623, 0.5257, 0.7587)
Ag (0.5266, 0.2491, 0.1618)
Ga (0.5000, 0.5000, 0.5000)
Ag (0.2500, 0.9291, 0.3673)
Ag (0.0377, 0.4743, 0.2413)
Au (0.0000, 0.0000, 0.0000)
Ag (0.7500, 0.0709, 0.6327)

---

Entry 3:
Ga4Ag5Au after structural relaxation. Source: Alexandria, functional GGA-PBE.

Properties
* Fermi-level density of states: 3.42 states/eV/f.u.
* magnetic moment: 0.00 μB per formula unit
* raw total energy: -2.869 eV per atom

a = 5.4979 Å, b = 6.5800 Å, c = 6.5800 Å
α = 79.95°, β = 65.31°, γ = 65.31°
Fractional positions:
Ag (0.7004, 0.0000, 0.0000)
Ag (0.6869, 0.1405, 0.3868)
Ag (0.0737, 0.6132, 0.1405)
Ga (0.1436, 0.2416, 0.3684)
Ga (0.7536, 0.7584, 0.6316)
Au (0.2130, 0.0000, 0.0000)
Ga (0.5120, 0.6316, 0.2416)
Ag (0.2142, 0.8595, 0.6132)
Ag (0.8275, 0.3868, 0.8595)
Ga (0.3852, 0.3684, 0.7584)

---

Entry 4:
GaAg3Au4 after structural relaxation. Source: Alexandria, functional GGA-PBE.

Properties
* Fermi-level density of states: 2.47 states/eV/f.u.
* magnetic moment: 0.00 μB per formula unit
* raw total energy: -3.118 eV per atom

a = 4.8357 Å, b = 2.9950 Å, c = 10.2894 Å
α = 81.89°, β = 103.59°, γ = 90.00°
Fractional positions:
Au (0.6097, 0.3895, 0.2194)
Ag (0.2651, 0.2350, 0.5302)
Ga (0.5000, 0.0000, 0.0000)
Au (0.3903, 0.6105, 0.7806)
Ag (0.7349, 0.7650, 0.4698)
Ag (0.0000, 0.5000, 0.0000)
Au (0.8616, 0.1395, 0.7231)
Au (0.1384, 0.8605, 0.2769)

---

Entry 5:
Ga2AgAu after structural relaxation. Source: Alexandria, functional GGA-PBE.

Properties
* Fermi-level density of states: 1.25 states/eV/f.u.
* magnetic moment: 0.00 μB per formula unit
* raw total energy: -3.109 eV per atom

a = 2.9958 Å, b = 7.9164 Å, c = 8.9397 Å
α = 43.92°, β = 90.00°, γ = 90.00°
Fractional positions:
Ga (0.7500, 0.8488, 0.1876)
Ga (0.7500, 0.6036, 0.0535)
Au (0.2500, 0.6449, 0.5430)
Ag (0.7500, 0.0993, 0.3105)
Ag (0.2500, 0.9007, 0.6895)
Au (0.7500, 0.3551, 0.4570)
Ga (0.2500, 0.3964, 0.9465)
Ga (0.2500, 0.1512, 0.8124)

---

Entry 6:
GaAg2Au after structural relaxation. Source: Alexandria, functional GGA-PBE.

Properties
* Fermi-level density of states: 1.00 states/eV/f.u.
* magnetic moment: 0.00 μB per formula unit
* raw total energy: -3.008 eV per atom

a = 3.2601 Å, b = 3.2601 Å, c = 6.6829 Å
α = 90.00°, β = 90.00°, γ = 90.00°
Fractional positions:
Ga (0.5000, 0.5000, 0.0000)
Au (0.5000, 0.5000, 0.5000)
Ag (0.0000, 0.0000, 0.7596)
Ag (0.0000, 0.0000, 0.2404)

---

Entry 7:
Ga2Ag5Au5 after structural relaxation. Source: Alexandria, functional GGA-PBE.

Properties
* Fermi-level density of states: 3.34 states/eV/f.u.
* magnetic moment: 0.00 μB per formula unit
* raw total energy: -3.120 eV per atom

a = 4.7423 Å, b = 5.2416 Å, c = 10.0578 Å
α = 77.07°, β = 76.36°, γ = 63.10°
Fractional positions:
Ag (0.5000, 0.5000, 0.5000)
Au (0.0000, 0.0000, 0.0000)
Au (0.1573, 0.1583, 0.5271)
Ga (0.9111, 0.4354, 0.7425)
Ag (0.3286, 0.3284, 0.0144)
Ga (0.0889, 0.5646, 0.2575)
Ag (0.5874, 0.0815, 0.7437)
Ag (0.4126, 0.9185, 0.2563)
Au (0.7357, 0.2915, 0.2372)
Au (0.8427, 0.8417, 0.4729)
Ag (0.6714, 0.6716, 0.9856)
Au (0.2643, 0.7085, 0.7628)

---

Entry 8:
GaAgAu5 after structural relaxation. Source: Alexandria, functional GGA-PBE.

Properties
* Fermi-level density of states: 2.01 states/eV/f.u.
* magnetic moment: 0.00 μB per formula unit
* raw total energy: -3.248 eV per atom

a = 4.1884 Å, b = 4.1884 Å, c = 7.4375 Å
α = 90.00°, β = 90.00°, γ = 90.00°
Fractional positions:
Ga (0.0000, 0.0000, 0.5000)
Au (0.0000, 0.5000, 0.7177)
Au (0.5000, 0.5000, 0.0000)
Au (0.0000, 0.5000, 0.2823)
Au (0.5000, 0.0000, 0.7177)
Au (0.5000, 0.0000, 0.2823)
Ag (0.0000, 0.0000, 0.0000)

---

Entry 9:
Ga2Ag6Au after structural relaxation. Source: Alexandria, functional GGA-PBE.

Properties
* Fermi-level density of states: 3.11 states/eV/f.u.
* magnetic moment: 0.00 μB per formula unit
* raw total energy: -2.923 eV per atom

a = 5.1108 Å, b = 8.1320 Å, c = 8.1320 Å
α = 73.55°, β = 84.09°, γ = 84.09°
Fractional positions:
Ag (0.0162, 0.5749, 0.3192)
Ag (0.3103, 0.7467, 0.0189)
Ag (0.4838, 0.6808, 0.4251)
Ag (0.8479, 0.6475, 0.9043)
Ga (0.4116, 0.5467, 0.7831)
Ag (0.6521, 0.0957, 0.3525)
Ag (0.5162, 0.3192, 0.5749)
Ga (0.0884, 0.2169, 0.4533)
Ag (0.8103, 0.0189, 0.7467)
Ag (0.9838, 0.4251, 0.6808)
Ag (0.3479, 0.9043, 0.6475)
Ga (0.5884, 0.4533, 0.2169)
Ag (0.6897, 0.2533, 0.9811)
Ag (0.1897, 0.9811, 0.2533)
Ga (0.9116, 0.7831, 0.5467)
Ag (0.1521, 0.3525, 0.0957)
Au (0.7500, 0.8889, 0.1111)
Au (0.2500, 0.1111, 0.8889)

---

Entry 10:
GaAg5Au3 after structural relaxation. Source: Alexandria, functional GGA-PBE.

Properties
* Fermi-level density of states: 2.49 states/eV/f.u.
* magnetic moment: 0.00 μB per formula unit
* raw total energy: -2.865 eV per atom

a = 6.2372 Å, b = 6.2372 Å, c = 9.9927 Å
α = 85.79°, β = 85.79°, γ = 82.74°
Fractional positions:
Ag (0.5367, 0.5367, 0.6957)
Ag (0.5983, 0.0103, 0.6641)
Ag (0.4017, 0.9897, 0.3359)
Au (0.7091, 0.7091, 0.4527)
Ga (0.9743, 0.9743, 0.2528)
Au (0.2555, 0.2555, 0.1197)
Ga (0.0257, 0.0257, 0.7472)
Ag (0.0103, 0.5983, 0.6641)
Au (0.0000, 0.0000, 0.5000)
Ag (0.2762, 0.2762, 0.8425)
Ag (0.4633, 0.4633, 0.3043)
Au (0.2909, 0.2909, 0.5473)
Ag (0.3328, 0.6672, 0.0000)
Ag (0.7238, 0.7238, 0.1575)
Ag (0.6672, 0.3328, 0.0000)
Ag (0.9897, 0.4017, 0.3359)
Au (0.0000, 0.0000, 0.0000)
Au (0.7445, 0.7445, 0.8803)

---

Entry 11:
Ga2Ag3Au7 after structural relaxation. Source: Alexandria, functional GGA-PBE.

Properties
* Fermi-level density of states: 4.55 states/eV/f.u.
* magnetic moment: 0.00 μB per formula unit
* raw total energy: -3.133 eV per atom

a = 4.8306 Å, b = 4.8874 Å, c = 10.2720 Å
α = 103.76°, β = 90.00°, γ = 90.00°
Fractional positions:
Ag (0.5000, 0.5000, 0.0000)
Au (0.0000, 0.0000, 0.0000)
Au (0.0000, 0.2793, 0.5587)
Ga (0.0000, 0.1468, 0.2936)
Au (0.5000, 0.0824, 0.1648)
Ag (0.5000, 0.6520, 0.3039)
Au (0.0000, 0.4235, 0.8471)
Au (0.0000, 0.5765, 0.1529)
Ag (0.5000, 0.3480, 0.6961)
Au (0.5000, 0.9176, 0.8352)
Au (0.0000, 0.7207, 0.4413)
Ga (0.0000, 0.8532, 0.7064)

---

Entry 12:
GaAg3Au3 after structural relaxation. Source: Alexandria, functional GGA-PBE.

Properties
* Fermi-level density of states: 2.36 states/eV/f.u.
* magnetic moment: 0.00 μB per formula unit
* raw total energy: -3.058 eV per atom

a = 5.4151 Å, b = 5.4151 Å, c = 9.1272 Å
α = 95.34°, β = 95.34°, γ = 97.68°
Fractional positions:
Ag (0.8237, 0.1763, 0.5000)
Ag (0.7808, 0.2192, 0.0000)
Ag (0.6275, 0.6275, 0.3999)
Au (0.9078, 0.5540, 0.7319)
Ga (0.3194, 0.3194, 0.0323)
Au (0.5540, 0.9078, 0.7319)
Ag (0.1763, 0.8237, 0.5000)
Ag (0.3725, 0.3725, 0.6001)
Au (0.0922, 0.4460, 0.2681)
Ga (0.6806, 0.6806, 0.9677)
Au (0.9106, 0.9106, 0.2226)
Ag (0.2192, 0.7808, 0.0000)
Au (0.0894, 0.0894, 0.7774)
Au (0.4460, 0.0922, 0.2681)

---

no.,calculated volume (Å³ per cell)
1,213.7
2,148.2
3,196.5
4,143.3
5,147.1
6,71.0
7,214.7
8,130.5
9,321.4
10,383.8
11,235.6
12,262.6